(1)
Material: Ba4CeFe3O12
Method: DFT, PBE with a Hubbard U
State: optimized geometry

POSCAR file:
```
Ba4CeFe3O12
1.0
-4.1341 4.1341 4.1341
4.1341 -4.1341 4.1341
4.1341 4.1341 -4.1341
Ba Ce Fe O
4 1 3 12
Direct
0.0000 0.0000 0.5000
0.0000 0.5000 0.0000
0.5000 0.0000 0.0000
0.5000 0.5000 0.5000
0.0000 0.0000 0.0000
0.0000 0.5000 0.5000
0.5000 0.0000 0.5000
0.5000 0.5000 0.0000
0.0000 0.2654 0.2654
0.0000 0.7346 0.7346
0.2500 0.5000 0.7500
0.2500 0.7500 0.5000
0.2654 0.0000 0.2654
0.2654 0.2654 0.0000
0.5000 0.2500 0.7500
0.5000 0.7500 0.2500
0.7346 0.0000 0.7346
0.7346 0.7346 0.0000
0.7500 0.2500 0.5000
0.7500 0.5000 0.2500
```

Properties
Volume: 282.6 Å³/f.u.
Calculated density: 6.16 g/cm3
Total energy: -132.99 eV for the cell shown

---

(2)
Material: Ba2Ce2Ti2FeSi8O26
Method: DFT, PBE with a Hubbard U
State: optimized geometry

POSCAR file:
```
Ba2Ce2Ti2FeSi8O26
1.0
5.3315 -4.9133 0.0000
5.3315 4.9133 0.0000
-3.8391 0.0000 11.1263
Ba Ce Ti Fe Si O
2 2 2 1 8 26
Direct
0.2478 0.2478 0.4974
0.7522 0.7522 0.5026
0.0766 0.5669 0.0479
0.4331 0.9234 0.9521
0.2034 0.7032 0.3739
0.2968 0.7966 0.6261
0.6520 0.3480 0.0000
0.0595 0.1599 0.7882
0.0585 0.5508 0.7453
0.4492 0.9415 0.2547
0.4524 0.3444 0.2202
0.6226 0.1267 0.7343
0.6556 0.5476 0.7798
0.8401 0.9405 0.2118
0.8733 0.3774 0.2657
0.0168 0.7896 0.2329
0.0202 0.5109 0.3746
0.0810 0.2660 0.9271
0.0916 0.3150 0.7101
0.1158 0.8842 0.5000
0.1197 0.6151 0.6366
0.1593 0.6494 0.8824
0.2104 0.9832 0.7671
0.2881 0.5088 0.2306
0.3506 0.8407 0.1176
0.3851 0.6149 0.5000
0.3849 0.8803 0.3634
0.4082 0.1768 0.2834
0.4687 0.2572 0.0822
0.4891 0.9798 0.6254
0.4912 0.7119 0.7694
0.5653 0.3387 0.7004
0.5896 0.1254 0.8645
0.6613 0.4347 0.2996
0.6850 0.9084 0.2899
0.7340 0.9190 0.0729
0.7428 0.5313 0.9178
0.8232 0.5918 0.7166
0.8436 0.0726 0.7206
0.8746 0.4104 0.1355
0.9274 0.1564 0.2794
```

Properties
Volume: 582.9 Å³/f.u.
Calculated density: 3.84 g/cm3
Total energy: -328.83 eV for the cell shown

---

(3)
Material: BaSrCeFeO6
Method: DFT, PBE with a Hubbard U
State: optimized geometry

POSCAR file:
```
BaSrCeFeO6
1.0
0.0000 4.1884 4.1884
4.1884 0.0000 4.1884
4.1884 4.1884 0.0000
Ba Sr Ce Fe O
1 1 1 1 6
Direct
0.0000 0.0000 0.0000
0.5000 0.5000 0.5000
0.2500 0.2500 0.2500
0.7500 0.7500 0.7500
0.5126 0.5126 0.9874
0.5126 0.9874 0.5126
0.5126 0.9874 0.9874
0.9874 0.5126 0.5126
0.9874 0.5126 0.9874
0.9874 0.9874 0.5126
```

Properties
Volume: 147.0 Å³/f.u.
Calculated density: 5.84 g/cm3
Total energy: -69.81 eV for the cell shown